A plane-wave DFT calculation with PBE-GGA was carried out for MgOF2 after structural relaxation.

## Properties
E above lowest polymorph = 64 meV per atom
V = 145.2 Å³/cell
ΔE_f (raw) = -7.2 eV/f.u.

Unit cell a=6.079 b=6.079 c=6.079 alpha=124.96 beta=124.96 gamma=81.60
Fractional positions:
Mg  0.000  0.000  0.000
Mg  0.750  0.250  0.500
O  0.250  0.750  0.500
O  0.500  0.500  0.000
F  0.375  0.211  0.336
F  0.789  0.125  0.164
F  0.875  0.039  0.664
F  0.961  0.625  0.836